This record from OQMD via LeMat-Bulk describes a geometry-optimized LiZnTc2 structure. The functional is PBE.

Cell: 4.2549 4.2549 4.2549 Å, 60.00 60.00 60.00°
Closest atoms and distances in Å follow each position.
Fractional positions:
Li (0.2500, 0.2500, 0.2500)  4 Tc 2.61, 4 Zn 2.61
Tc (0.0000, 0.0000, 0.0000)  4 Tc 2.61, 4 Li 2.61
Tc (0.7500, 0.7500, 0.7500)  4 Tc 2.61, 4 Zn 2.61
Zn (0.5000, 0.5000, 0.5000)  4 Tc 2.61, 4 Li 2.61

Calculated values
The value obtained for the total DFT energy (no corrections) is -5.9389 eV/atom.

***

This record from OQMD via LeMat-Bulk describes a geometry-optimized LiZr2Tc structure. The functional is PBE.

Cell: 4.6480 4.6480 4.6480 Å, 60.00 60.00 60.00°
Closest atoms and distances in Å follow each position.
Fractional positions:
Li (0.5000, 0.5000, 0.5000)  4 Zr 2.85, 4 Tc 2.85
Tc (0.2500, 0.2500, 0.2500)  4 Zr 2.85, 4 Li 2.85
Zr (0.0000, 0.0000, 0.0000)  4 Tc 2.85, 4 Zr 2.85
Zr (0.7500, 0.7500, 0.7500)  4 Li 2.85, 4 Zr 2.85

Calculated values
The value obtained for the total DFT energy (no corrections) is -7.1426 eV/atom.

***

This record from OQMD via LeMat-Bulk describes a geometry-optimized LiZr2Tc structure. The functional is PBE.

Cell: 4.9388 4.9388 7.6157 Å, 90.00 90.00 120.00°
Closest atoms and distances in Å follow each position.
Fractional positions:
Li (0.0000, 0.0000, 0.0000)  6 Zr 2.92
Li (0.0000, 0.0000, 0.5000)  6 Zr 2.92
Tc (0.3333, 0.6667, 0.2500)  2 Zr 2.52
Tc (0.6667, 0.3333, 0.7500)  2 Zr 2.52
Zr (0.6667, 0.3333, 0.0811)  1 Tc 2.52, 1 Zr 2.57
Zr (0.6667, 0.3333, 0.4189)  1 Tc 2.52, 1 Zr 2.57
Zr (0.3333, 0.6667, 0.5811)  1 Tc 2.52, 1 Zr 2.57
Zr (0.3333, 0.6667, 0.9189)  1 Tc 2.52, 1 Zr 2.57

Calculated values
The value obtained for the total DFT energy (no corrections) is -7.0073 eV/atom.

***

This record from OQMD via LeMat-Bulk describes a geometry-optimized LiZr2Tc structure. The functional is PBE.

Cell: 4.2084 4.2084 11.5196 Å, 90.00 90.00 120.00°
Closest atoms and distances in Å follow each position.
Fractional positions:
Li (0.3333, 0.6667, 0.2500)  6 Zr 3.03
Li (0.6667, 0.3333, 0.7500)  6 Zr 3.03
Tc (0.0000, 0.0000, 0.0000)  6 Zr 2.66
Tc (0.0000, 0.0000, 0.5000)  6 Zr 2.66
Zr (0.6667, 0.3333, 0.0935)  3 Tc 2.66
Zr (0.6667, 0.3333, 0.4065)  3 Tc 2.66
Zr (0.3333, 0.6667, 0.5935)  3 Tc 2.66
Zr (0.3333, 0.6667, 0.9065)  3 Tc 2.66

Calculated values
The value obtained for the total DFT energy (no corrections) is -6.9828 eV/atom.

***

This record from OQMD via LeMat-Bulk describes a geometry-optimized LiZr2Tc structure. The functional is PBE.

Cell: 4.3737 4.3737 8.7943 Å, 90.00 90.00 120.00°
Closest atoms and distances in Å follow each position.
Fractional positions:
Li (0.6667, 0.3333, 0.2500)  3 Tc 2.53
Li (0.3333, 0.6667, 0.7500)  3 Tc 2.53
Tc (0.0000, 0.0000, 0.2500)  3 Li 2.53
Tc (0.0000, 0.0000, 0.7500)  3 Li 2.53
Zr (0.3333, 0.6667, 0.0884)  4 Zr 2.84-2.97, 4 Li 2.90-2.98, 3 Tc 2.90
Zr (0.3333, 0.6667, 0.4116)  4 Zr 2.84-2.97, 4 Li 2.90-2.98, 3 Tc 2.90
Zr (0.6667, 0.3333, 0.5884)  4 Zr 2.84-2.97, 4 Li 2.90-2.98, 3 Tc 2.90
Zr (0.6667, 0.3333, 0.9116)  4 Zr 2.84-2.97, 4 Li 2.90-2.98, 3 Tc 2.90

Calculated values
The value obtained for the total DFT energy (no corrections) is -6.9917 eV/atom.

***

This record from OQMD via LeMat-Bulk describes a geometry-optimized LiZrTc structure. The functional is PBE.

Cell: 4.1444 4.1444 4.1444 Å, 60.00 60.00 60.00°
Closest atoms and distances in Å follow each position.
Fractional positions:
Li (0.0000, 0.0000, 0.0000)  4 Tc 2.54, 4 Zr 2.54
Tc (0.2500, 0.2500, 0.2500)  4 Li 2.54
Zr (0.7500, 0.7500, 0.7500)  4 Li 2.54

Calculated values
The value obtained for the total DFT energy (no corrections) is -6.2661 eV/atom.